Run a
Material: SrPd3F
Method: DFT, GGA-PBE
State: optimized geometry

abc: 5.2957 5.2957 5.2957
angles: 90.00 90.00 90.00
Fractional positions:
Pd 0.5000 0.0000 0.0000
Pd 0.0000 0.0000 0.5000
Pd 0.0000 0.5000 0.0000
Sr 0.0000 0.0000 0.0000
F 0.5000 0.5000 0.5000


Run b
Material: SrPd3F
Method: DFT, GGA-PBE
State: optimized geometry

abc: 4.5890 4.5890 4.5890
angles: 90.00 90.00 90.00
Fractional positions:
Pd 0.5000 0.0000 0.0000
Pd 0.0000 0.5000 0.0000
Pd 0.0000 0.0000 0.5000
Sr 0.5000 0.5000 0.5000
F 0.0000 0.0000 0.0000


Which structure is the least stable? The one labeled run a.


Run a
Material: SrPdF2
Method: DFT, GGA-PBE
State: optimized geometry

abc: 4.4964 4.4964 8.0591
angles: 73.80 73.80 90.00
Fractional positions:
Sr 0.2500 0.7500 0.5000
Pd 0.0000 0.0000 0.0000
Sr 0.5000 0.5000 0.0000
F 0.3750 0.3765 0.7500
F 0.6235 0.1250 0.2500
F 0.8750 0.8735 0.7500
F 0.1265 0.6250 0.2500
Pd 0.7500 0.2500 0.5000


Run b
Material: SrPdF2
Method: DFT, GGA-PBE
State: optimized geometry

abc: 6.0809 6.0809 6.0809
angles: 39.79 39.79 39.79
Fractional positions:
F 0.1260 0.1260 0.1260
Pd 0.0000 0.0000 0.0000
F 0.8740 0.8740 0.8740
Sr 0.5000 0.5000 0.5000


Which structure is the least stable? The one labeled run a.


Run a
Material: TaPd3F
Method: DFT, GGA-PBE
State: optimized geometry

abc: 4.3085 4.3085 4.3085
angles: 90.00 90.00 90.00
Fractional positions:
Pd 0.5000 0.0000 0.0000
Ta 0.5000 0.5000 0.5000
F 0.0000 0.0000 0.0000
Pd 0.0000 0.0000 0.5000
Pd 0.0000 0.5000 0.0000


Run b
Material: TaPd3F
Method: DFT, GGA-PBE
State: optimized geometry

abc: 4.8462 4.8462 4.8462
angles: 90.00 90.00 90.00
Fractional positions:
Ta 0.0000 0.0000 0.0000
F 0.5000 0.5000 0.5000
Pd 0.0000 0.5000 0.0000
Pd 0.5000 0.0000 0.0000
Pd 0.0000 0.0000 0.5000


Which structure is the least stable? The one labeled run b.